Below is an optimized crystal structure of Eu2InTe, with properties calculated at the PBE level.

Calculated total energy = -7.51 eV per atom
Calculated density = 7.27 g cm⁻³
Magnetization = 14.45 μB per formula unit
Formation energy from raw total energies = -0.903 eV per atom

a = 4.038 Å, b = 4.038 Å, c = 7.647 Å
α = 90.00°, β = 90.00°, γ = 90.00°
Space group P4/mmm (No. 123)
Symmetry-distinct sites (fractional):
1 Eu 0.000 0.000 0.242 x2
2 In 0.500 0.500 0.500 x1
3 Te 0.500 0.500 0.000 x1